Material: KNiTeO4
Method: DFT, PBE+U
State: relaxed

Properties
- M_tot: 2.11 μB per cell
- N(E_F): 0.241 states/eV per atom
- Total DFT energy (no corrections): -66.980 eV for the cell shown

Cell and atoms, written as CIF:
```
data_KNiTeO4
_symmetry_space_group_name_H-M 'P 1'
_symmetry_Int_Tables_number 1
_cell_length_a 6.014
_cell_length_b 6.351
_cell_length_c 6.867
_cell_angle_alpha 90.00
_cell_angle_beta 100.51
_cell_angle_gamma 90.00
loop_
_symmetry_equiv_pos_as_xyz
'x,y,z'
loop_
_atom_site_label
_atom_site_type_symbol
_atom_site_fract_x
_atom_site_fract_y
_atom_site_fract_z
_atom_site_occupancy
K1 K 0.740 0.750 0.047 1
K2 K 0.260 0.250 0.953 1
Ni1 Ni 0.717 0.750 0.589 1
Ni2 Ni 0.283 0.250 0.411 1
Te1 Te 0.234 0.750 0.435 1
Te2 Te 0.766 0.250 0.565 1
O1 O 0.890 0.502 0.710 1
O2 O 0.110 0.002 0.290 1
O3 O 0.110 0.498 0.290 1
O4 O 0.890 0.998 0.710 1
O5 O 0.509 0.750 0.333 1
O6 O 0.491 0.250 0.667 1
O7 O 0.427 0.750 0.696 1
O8 O 0.573 0.250 0.304 1
```